Entry one
Density functional theory data (GGA-PBE) for a relaxed structure of MgIr4.

Values from the calculation:
* magnetization: 0.0 μB/cell
* space-group type: I4/m

a = 6.152 Å, b = 6.152 Å, c = 4.767 Å
α = 49.81°, β = 49.81°, γ = 90.00°
Positions (direct):
Ir 0.602 0.193 0.000
Ir 0.398 0.807 0.000
Ir 0.807 0.602 0.000
Ir 0.193 0.398 0.000
Mg 0.000 0.000 0.000


Entry two
Density functional theory data (GGA-PBE) for a relaxed structure of MgIr4.

Values from the calculation:
* magnetization: 0.0 μB/cell
* space-group type: Im-3m

a = 4.831 Å, b = 4.831 Å, c = 4.831 Å
α = 109.47°, β = 109.47°, γ = 109.47°
Positions (direct):
Mg 0.000 0.000 0.000
Ir 0.000 0.000 0.500
Ir 0.500 0.500 0.500
Ir 0.000 0.500 0.000
Ir 0.500 0.000 0.000


Entry three
Density functional theory data (GGA-PBE) for a relaxed structure of MgIr4.

Values from the calculation:
* magnetization: 0.0 μB/cell
* space-group type: I4/mmm

a = 6.726 Å, b = 6.726 Å, c = 6.726 Å
α = 148.04°, β = 148.04°, γ = 45.82°
Positions (direct):
Mg 0.000 0.000 0.000
Ir 0.401 0.401 0.000
Ir 0.750 0.250 0.500
Ir 0.599 0.599 0.000
Ir 0.250 0.750 0.500


Entry four
Density functional theory data (GGA-PBE) for a relaxed structure of MgIr4.

Values from the calculation:
* magnetization: 0.0 μB/cell
* space-group type: Pm-3m

a = 4.400 Å, b = 4.400 Å, c = 4.400 Å
α = 90.00°, β = 90.00°, γ = 90.00°
Positions (direct):
Ir 0.500 0.500 0.000
Ir 0.000 0.500 0.500
Ir 0.500 0.000 0.500
Ir 0.000 0.000 0.000
Mg 0.500 0.500 0.500


Of them, entry one has the highest stability.


Entry one
Density functional theory data (GGA-PBE) for a relaxed structure of Mg5Ir4.

Values from the calculation:
* magnetization: 0.0 μB/cell
* space-group type: P6_3/mcm

a = 7.789 Å, b = 7.789 Å, c = 5.448 Å
α = 90.00°, β = 90.00°, γ = 120.00°
Positions (direct):
Ir 0.000 0.000 0.000
Ir 0.000 0.000 0.500
Ir 0.000 0.646 0.750
Ir 0.354 0.354 0.750
Ir 0.646 0.646 0.250
Ir 0.354 0.000 0.250
Ir 0.646 0.000 0.750
Ir 0.000 0.354 0.250
Mg 0.333 0.667 0.500
Mg 0.305 0.305 0.250
Mg 0.333 0.667 0.000
Mg 0.695 0.000 0.250
Mg 0.305 0.000 0.750
Mg 0.695 0.695 0.750
Mg 0.667 0.333 0.000
Mg 0.000 0.695 0.250
Mg 0.667 0.333 0.500
Mg 0.000 0.305 0.750


Entry two
Density functional theory data (GGA-PBE) for a relaxed structure of Mg5Ir4.

Values from the calculation:
* magnetization: 0.0 μB/cell
* space-group type: I4/mmm

a = 6.305 Å, b = 6.305 Å, c = 6.305 Å
α = 96.19°, β = 96.19°, γ = 141.67°
Positions (direct):
Mg 0.676 0.676 0.351
Mg 0.676 0.324 0.000
Mg 0.000 0.000 0.000
Mg 0.324 0.324 0.649
Mg 0.324 0.676 0.000
Ir 0.343 0.000 0.343
Ir 0.000 0.343 0.343
Ir 0.000 0.657 0.657
Ir 0.657 0.000 0.657


Of them, entry one has the highest stability.


Entry one
Density functional theory data (GGA-PBE) for a relaxed structure of Mg4Ir5.

Values from the calculation:
* magnetization: 0.0 μB/cell
* space-group type: P6_3/mcm

a = 7.736 Å, b = 7.736 Å, c = 5.340 Å
α = 90.00°, β = 90.00°, γ = 120.00°
Positions (direct):
Ir 0.667 0.333 0.000
Ir 0.333 0.667 0.500
Ir 0.000 0.681 0.250
Ir 0.319 0.000 0.750
Ir 0.000 0.319 0.750
Ir 0.333 0.667 0.000
Ir 0.681 0.681 0.750
Ir 0.319 0.319 0.250
Ir 0.667 0.333 0.500
Ir 0.681 0.000 0.250
Mg 0.356 0.000 0.250
Mg 0.356 0.356 0.750
Mg 0.644 0.644 0.250
Mg 0.000 0.000 0.500
Mg 0.000 0.000 0.000
Mg 0.000 0.644 0.750
Mg 0.644 0.000 0.750
Mg 0.000 0.356 0.250


Entry two
Density functional theory data (GGA-PBE) for a relaxed structure of Mg4Ir5.

Values from the calculation:
* magnetization: 0.0 μB/cell
* space-group type: I4/mmm

a = 6.325 Å, b = 6.325 Å, c = 6.325 Å
α = 95.65°, β = 95.65°, γ = 143.43°
Positions (direct):
Mg 0.000 0.692 0.692
Mg 0.308 0.000 0.308
Mg 0.692 0.000 0.692
Mg 0.000 0.308 0.308
Ir 0.335 0.665 0.000
Ir 0.665 0.335 0.000
Ir 0.000 0.000 0.000
Ir 0.665 0.665 0.329
Ir 0.335 0.335 0.671


Of them, entry two has the highest stability.


Entry one
Density functional theory data (GGA-PBE) for a relaxed structure of MgMnIr3.

Values from the calculation:
* magnetization: 0.0 μB/cell
* space-group type: Pm-3m

a = 4.423 Å, b = 4.423 Å, c = 4.423 Å
α = 90.00°, β = 90.00°, γ = 90.00°
Site moments in Bohr magnetons follow the coordinates.
Positions (direct):
Mg 0.000 0.000 0.000  0.00
Mn 0.500 0.500 0.500  0.20
Ir 0.000 0.000 0.500  -0.11
Ir 0.000 0.500 0.000  -0.05
Ir 0.500 0.000 0.000  -0.02


Entry two
Density functional theory data (GGA-PBE) for a relaxed structure of MgMnIr3.

Values from the calculation:
* magnetization: 0.0 μB/cell
* space-group type: Pm-3m

a = 4.489 Å, b = 4.489 Å, c = 4.489 Å
α = 90.00°, β = 90.00°, γ = 90.00°
Positions (direct):
Ir 0.500 0.000 0.000
Ir 0.000 0.500 0.000
Ir 0.000 0.000 0.500
Mg 0.500 0.500 0.500
Mn 0.000 0.000 0.000


Of them, entry two has the highest stability.